(1)
ZrTi2BiC | PBE | relaxed

Calculated values
calculated formation energy	-372	meV per atom
total magnetization	0.00	μB/f.u.
calculated density	7.8	g/cm3

Cell: 4.2588 4.2588 4.7635 Å, 90.00 90.00 90.00°
Closest atoms and distances in Å follow each position.
Sites, in units of the cell vectors:
Zr  0.0000  0.0000  0.0000  2 C 2.38
Ti  0.0000  0.5000  0.5000  2 C 2.13
Ti  0.5000  0.0000  0.5000  2 C 2.13
Bi  0.5000  0.5000  0.0000  4 Zr 3.01, 8 Ti 3.19
C  0.0000  0.0000  0.5000  4 Ti 2.13, 2 Zr 2.38

***

(2)
TlBiC | PBE | relaxed

Calculated values
calculated formation energy	678	meV per atom
distance to the lowest polymorph of the same formula	21	meV per atom
total magnetization	0.00	μB/f.u.
calculated density	8.5	g/cm3

Cell: 7.7274 7.7274 6.3942 Å, 108.53 108.53 27.33°
Closest atoms and distances in Å follow each position.
Sites, in units of the cell vectors:
Tl  0.1268  0.1268  0.0249  1 C 3.07
Tl  0.8732  0.8732  0.9751  1 C 3.07
Bi  0.3527  0.3527  0.4498  2 C 2.34
Bi  0.6473  0.6473  0.5502  2 C 2.34
C  0.0461  0.0461  0.5167  1 C 1.33
C  0.9539  0.9539  0.4833  1 C 1.33

***

(3)
Tl3BiC | PBE | relaxed

Calculated values
calculated formation energy	1655	meV per atom
distance to the lowest polymorph of the same formula	786	meV per atom
total magnetization	2.44	μB/f.u.
calculated density	5.6	g/cm3

Cell: 6.2634 6.2634 6.2634 Å, 90.00 90.00 90.00°
Closest atoms and distances in Å follow each position.
Sites, in units of the cell vectors:
Tl  0.0000  0.0000  0.5000  2 Bi 3.13
Tl  0.0000  0.5000  0.0000  2 Bi 3.13
Tl  0.5000  0.0000  0.0000  2 Bi 3.13
Bi  0.0000  0.0000  0.0000  6 Tl 3.13
C  0.5000  0.5000  0.5000  12 Tl 4.43

***

(4)
TlBiC | PBE | relaxed

Calculated values
calculated formation energy	670	meV per atom
distance to the lowest polymorph of the same formula	13	meV per atom
total magnetization	0.00	μB/f.u.
calculated density	7.9	g/cm3

Cell: 6.1403 6.1403 7.4453 Å, 123.68 123.68 54.99°
Closest atoms and distances in Å follow each position.
Sites, in units of the cell vectors:
Tl  0.0000  0.0000  0.0000  2 C 2.91-3.06
Tl  0.6363  0.6363  0.3335  2 C 2.90-3.08
Bi  0.1142  0.1142  0.6079  1 C 2.24
Bi  0.5147  0.5147  0.7171  1 C 2.24
C  0.7584  0.7584  0.0553  1 C 1.26
C  0.8722  0.8722  0.2673  1 C 1.26

***

(5)
TlBiC | PBE | relaxed

Calculated values
calculated formation energy	995	meV per atom
distance to the lowest polymorph of the same formula	338	meV per atom
total magnetization	0.00	μB/f.u.
calculated density	9.4	g/cm3

Cell: 3.6403 8.1390 5.0495 Å, 90.00 90.00 90.00°
Closest atoms and distances in Å follow each position.
Sites, in units of the cell vectors:
Tl  0.0000  0.1256  0.0000  1 C 2.42
Tl  0.5000  0.8744  0.5000  1 C 2.42
Bi  0.0000  0.6342  0.0426  3 C 2.34
Bi  0.5000  0.3658  0.5426  3 C 2.34
C  0.0000  0.3780  0.2518  3 Bi 2.34, 1 Tl 2.42
C  0.5000  0.6220  0.7518  3 Bi 2.34, 1 Tl 2.42

***

(6)
TlBiC2 | PBE | relaxed

Calculated values
calculated formation energy	2354	meV per atom
distance to the lowest polymorph of the same formula	769	meV per atom
total magnetization	0.00	μB/f.u.
calculated density	10.6	g/cm3

Cell: 4.5915 4.5915 4.5915 Å, 60.00 60.00 60.00°
Closest atoms and distances in Å follow each position.
Sites, in units of the cell vectors:
Tl  0.0000  0.0000  0.0000  8 C 2.81
Bi  0.5000  0.5000  0.5000  8 C 2.81
C  0.2500  0.2500  0.2500  4 Bi 2.81, 4 Tl 2.81
C  0.7500  0.7500  0.7500  4 Bi 2.81, 4 Tl 2.81

***

(7)
TlBiC | PBE | relaxed

Calculated values
calculated formation energy	687	meV per atom
distance to the lowest polymorph of the same formula	30	meV per atom
total magnetization	0.00	μB/f.u.
calculated density	8.5	g/cm3

Cell: 7.8063 7.8063 5.9897 Å, 97.74 97.74 27.26°
Closest atoms and distances in Å follow each position.
Sites, in units of the cell vectors:
Tl  0.0000  0.0000  0.0000  1 C 3.59, 6 Bi 3.60-3.93, 3 Tl 3.68-3.95
Tl  0.7430  0.7430  0.0480  3 C 2.92-3.08
Bi  0.1357  0.1357  0.5525  2 C 2.34
Bi  0.4100  0.4100  0.5019  2 C 2.34
C  0.7312  0.7312  0.5572  1 C 1.34
C  0.8187  0.8187  0.5454  1 C 1.34

***

(8)
Tl3BiC | PBE | relaxed

Calculated values
calculated formation energy	870	meV per atom
distance to the lowest polymorph of the same formula	0	meV per atom
total magnetization	0.00	μB/f.u.
calculated density	10.7	g/cm3

Cell: 5.0526 5.0526 5.0526 Å, 90.00 90.00 90.00°
Closest atoms and distances in Å follow each position.
Sites, in units of the cell vectors:
Tl  0.0000  0.0000  0.5000  2 C 2.53
Tl  0.0000  0.5000  0.0000  2 C 2.53
Tl  0.5000  0.0000  0.0000  2 C 2.53
Bi  0.5000  0.5000  0.5000  12 Tl 3.57
C  0.0000  0.0000  0.0000  6 Tl 2.53

***

| no. | total DFT energy (no corrections) (eV/atom) |
| --- | --- |
| 1 | -7.860 |
| 2 | -4.479 |
| 3 | -2.385 |
| 4 | -4.487 |
| 5 | -4.162 |
| 6 | -3.820 |
| 7 | -4.470 |
| 8 | -3.171 |